[1]
Below is an optimized crystal structure of TbAgH, with properties calculated at the PBE-GGA level.

a = 3.3183 Å, b = 3.3183 Å, c = 5.5070 Å
α = 107.53°, β = 107.53°, γ = 90.00°
Each line ends with the local moment (μB).
Element x y z (fractional)
H 0.0849 0.0849 0.1699  0.00
Tb 0.6041 0.6041 0.2082  0.18
Ag 0.3109 0.3109 0.6219  0.01

Results
space-group type = No. 107
excess energy over the best structure of this formula in the dataset = 247 meV per atom


[2]
Below is an optimized crystal structure of TbAgH, with properties calculated at the PBE-GGA level.

a = 4.8323 Å, b = 3.8159 Å, c = 13.8105 Å
α = 106.07°, β = 149.71°, γ = 90.00°
Element x y z (fractional)
H 0.8000 0.1422 0.3925
H 0.2000 0.8578 0.6075
Tb 0.3006 0.4770 0.2275
Tb 0.6994 0.5230 0.7725
Ag 0.0063 0.0573 0.3077
Ag 0.9937 0.9427 0.6923

Results
space-group type = No. 11
excess energy over the best structure of this formula in the dataset = 0 meV per atom


[3]
Below is an optimized crystal structure of Tb3Ag5H12, with properties calculated at the PBE-GGA level.

a = 10.6062 Å, b = 10.6062 Å, c = 10.6062 Å
α = 109.47°, β = 109.47°, γ = 109.47°
Element x y z (fractional)
Tb 0.7500 0.3750 0.1250
Tb 0.8750 0.7500 0.1250
Tb 0.3750 0.7500 0.6250
Tb 0.2500 0.1250 0.3750
Tb 0.8750 0.1250 0.2500
Tb 0.3750 0.6250 0.2500
Tb 0.6250 0.3750 0.7500
Tb 0.1250 0.8750 0.7500
Tb 0.7500 0.8750 0.6250
Tb 0.6250 0.2500 0.3750
Tb 0.1250 0.2500 0.8750
Tb 0.2500 0.6250 0.8750
Ag 0.1250 0.3750 0.2500
Ag 0.0000 0.5000 0.0000
Ag 0.0000 0.0000 0.0000
Ag 0.3750 0.2500 0.1250
Ag 0.5000 0.0000 0.5000
Ag 0.5000 0.5000 0.0000
Ag 0.1250 0.7500 0.3750
Ag 0.7500 0.1250 0.8750
Ag 0.7500 0.6250 0.3750
Ag 0.3750 0.1250 0.7500
Ag 0.6250 0.8750 0.2500
Ag 0.5000 0.5000 0.5000
Ag 0.5000 0.0000 0.0000
Ag 0.0000 0.0000 0.5000
Ag 0.2500 0.3750 0.6250
Ag 0.2500 0.8750 0.1250
Ag 0.0000 0.5000 0.5000
Ag 0.8750 0.2500 0.6250
Ag 0.6250 0.7500 0.8750
Ag 0.8750 0.6250 0.7500
H 0.7205 0.1352 0.0434
H 0.3229 0.5434 0.4082
H 0.9566 0.3648 0.2795
H 0.5434 0.2205 0.1352
H 0.5852 0.7205 0.6771
H 0.9566 0.5918 0.1771
H 0.3229 0.7795 0.4148
H 0.0918 0.9148 0.1352
H 0.5918 0.9566 0.6771
H 0.7205 0.5852 0.1771
H 0.7795 0.4566 0.3648
H 0.8229 0.9082 0.0434
H 0.1352 0.7205 0.5434
H 0.3648 0.4082 0.0852
H 0.0852 0.9082 0.3648
H 0.4148 0.1352 0.5918
H 0.0852 0.1771 0.2205
H 0.4566 0.6771 0.0918
H 0.8229 0.9148 0.2795
H 0.1352 0.4148 0.0918
H 0.3648 0.9566 0.7795
H 0.5918 0.6352 0.4148
H 0.9082 0.8229 0.5434
H 0.7795 0.3229 0.9148
H 0.4082 0.3648 0.5852
H 0.0918 0.1771 0.4566
H 0.2205 0.6771 0.0852
H 0.1771 0.0852 0.7205
H 0.6352 0.0434 0.2205
H 0.8648 0.5852 0.9082
H 0.5434 0.3229 0.9082
H 0.5852 0.8648 0.4082
H 0.9148 0.8229 0.7795
H 0.9148 0.0918 0.6352
H 0.8648 0.2795 0.4566
H 0.1771 0.0918 0.9566
H 0.6352 0.5918 0.9148
H 0.4082 0.0434 0.3229
H 0.2795 0.4148 0.8229
H 0.2205 0.5434 0.6352
H 0.9082 0.0852 0.8648
H 0.6771 0.2205 0.5852
H 0.4566 0.7795 0.8648
H 0.0434 0.4082 0.8229
H 0.4148 0.2795 0.3229
H 0.0434 0.6352 0.7205
H 0.6771 0.4566 0.5918
H 0.2795 0.8648 0.9566

Results
space-group type = No. 230
uncorrected energy = -3.569 eV per atom


[4]
Below is an optimized crystal structure of TbAgH, with properties calculated at the PBE-GGA level.

a = 3.7929 Å, b = 3.7929 Å, c = 4.4873 Å
α = 90.00°, β = 90.00°, γ = 120.00°
Element x y z (fractional)
H 0.3333 0.6667 0.5014
Tb 0.6667 0.3333 0.4993
Ag 0.0000 0.0000 0.9993

Results
space-group type = No. 156
excess energy over the best structure of this formula in the dataset = 106 meV per atom


[5]
Below is an optimized crystal structure of Tb12Ag3H5, with properties calculated at the PBE-GGA level.

a = 13.3646 Å, b = 13.3646 Å, c = 13.3646 Å
α = 109.47°, β = 109.47°, γ = 109.47°
Element x y z (fractional)
H 0.1250 0.3750 0.2500
H 0.0000 0.5000 0.0000
H 0.0000 0.0000 0.0000
H 0.3750 0.2500 0.1250
H 0.5000 0.0000 0.5000
H 0.5000 0.5000 0.0000
H 0.1250 0.7500 0.3750
H 0.7500 0.1250 0.8750
H 0.7500 0.6250 0.3750
H 0.3750 0.1250 0.7500
H 0.6250 0.8750 0.2500
H 0.5000 0.5000 0.5000
H 0.5000 0.0000 0.0000
H 0.0000 0.0000 0.5000
H 0.2500 0.3750 0.6250
H 0.2500 0.8750 0.1250
H 0.0000 0.5000 0.5000
H 0.8750 0.2500 0.6250
H 0.6250 0.7500 0.8750
H 0.8750 0.6250 0.7500
Tb 0.7078 0.1110 0.0153
Tb 0.3075 0.5153 0.4043
Tb 0.9847 0.3890 0.2922
Tb 0.5153 0.2078 0.1110
Tb 0.5968 0.7078 0.6925
Tb 0.9847 0.5957 0.1925
Tb 0.3075 0.7922 0.4032
Tb 0.0957 0.9032 0.1110
Tb 0.5957 0.9847 0.6925
Tb 0.7078 0.5968 0.1925
Tb 0.7922 0.4847 0.3890
Tb 0.8075 0.9043 0.0153
Tb 0.1110 0.7078 0.5153
Tb 0.3890 0.4043 0.0968
Tb 0.0968 0.9043 0.3890
Tb 0.4032 0.1110 0.5957
Tb 0.0968 0.1925 0.2078
Tb 0.4847 0.6925 0.0957
Tb 0.8075 0.9032 0.2922
Tb 0.1110 0.4032 0.0957
Tb 0.3890 0.9847 0.7922
Tb 0.5957 0.6110 0.4032
Tb 0.9043 0.8075 0.5153
Tb 0.7922 0.3075 0.9032
Tb 0.4043 0.3890 0.5968
Tb 0.0957 0.1925 0.4847
Tb 0.2078 0.6925 0.0968
Tb 0.1925 0.0968 0.7078
Tb 0.6110 0.0153 0.2078
Tb 0.8890 0.5968 0.9043
Tb 0.5153 0.3075 0.9043
Tb 0.5968 0.8890 0.4043
Tb 0.9032 0.8075 0.7922
Tb 0.9032 0.0957 0.6110
Tb 0.8890 0.2922 0.4847
Tb 0.1925 0.0957 0.9847
Tb 0.6110 0.5957 0.9032
Tb 0.4043 0.0153 0.3075
Tb 0.2922 0.4032 0.8075
Tb 0.2078 0.5153 0.6110
Tb 0.9043 0.0968 0.8890
Tb 0.6925 0.2078 0.5968
Tb 0.4847 0.7922 0.8890
Tb 0.0153 0.4043 0.8075
Tb 0.4032 0.2922 0.3075
Tb 0.0153 0.6110 0.7078
Tb 0.6925 0.4847 0.5957
Tb 0.2922 0.8890 0.9847
Ag 0.7500 0.3750 0.1250
Ag 0.8750 0.7500 0.1250
Ag 0.3750 0.7500 0.6250
Ag 0.2500 0.1250 0.3750
Ag 0.8750 0.1250 0.2500
Ag 0.3750 0.6250 0.2500
Ag 0.6250 0.3750 0.7500
Ag 0.1250 0.8750 0.7500
Ag 0.7500 0.8750 0.6250
Ag 0.6250 0.2500 0.3750
Ag 0.1250 0.2500 0.8750
Ag 0.2500 0.6250 0.8750

Results
space-group type = No. 230
uncorrected energy = -4.266 eV per atom


[6]
Below is an optimized crystal structure of TcAg2H, with properties calculated at the PBE-GGA level.

a = 6.8702 Å, b = 6.8702 Å, c = 5.4389 Å
α = 50.83°, β = 50.83°, γ = 90.00°
Each line ends with the local moment (μB).
Element x y z (fractional)
H 0.5000 0.5000 0.0000  -0.01
H 0.2500 0.7500 0.5000  -0.01
Tc 0.0000 0.0000 0.0000  2.33
Tc 0.7500 0.2500 0.5000  2.33
Ag 0.5307 0.1250 0.2500  0.06
Ag 0.2193 0.6250 0.2500  0.05
Ag 0.3750 0.4693 0.7500  0.07
Ag 0.8750 0.7807 0.7500  0.06

Results
space-group type = No. 122
excess energy over the best structure of this formula in the dataset = 0 meV per atom


[7]
Below is an optimized crystal structure of TcAgH2, with properties calculated at the PBE-GGA level.

a = 3.8369 Å, b = 3.8369 Å, c = 3.8369 Å
α = 60.00°, β = 60.00°, γ = 60.00°
Each line ends with the local moment (μB).
Element x y z (fractional)
H 0.2500 0.2500 0.2500  -0.03
H 0.7500 0.7500 0.7500  -0.03
Tc 0.0000 0.0000 0.0000  1.72
Ag 0.5000 0.5000 0.5000  0.03

Results
space-group type = No. 225
excess energy over the best structure of this formula in the dataset = 536 meV per atom


[8]
Below is an optimized crystal structure of TcAgH2, with properties calculated at the PBE-GGA level.

a = 5.1539 Å, b = 5.1539 Å, c = 4.6664 Å
α = 56.48°, β = 56.48°, γ = 90.00°
Element x y z (fractional)
H 0.5651 0.1250 0.2500
H 0.1849 0.6250 0.2500
H 0.3750 0.4349 0.7500
H 0.8750 0.8151 0.7500
Tc 0.5000 0.5000 0.0000
Tc 0.2500 0.7500 0.5000
Ag 0.0000 0.0000 0.0000
Ag 0.7500 0.2500 0.5000

Results
space-group type = No. 122
excess energy over the best structure of this formula in the dataset = 0 meV per atom


[9]
Below is an optimized crystal structure of Tc2AgH, with properties calculated at the PBE-GGA level.

a = 4.2509 Å, b = 4.2509 Å, c = 4.2509 Å
α = 60.00°, β = 60.00°, γ = 60.00°
Each line ends with the local moment (μB).
Element x y z (fractional)
H 0.0000 0.0000 0.0000  -0.01
Tc 0.2500 0.2500 0.2500  0.64
Tc 0.7500 0.7500 0.7500  0.64
Ag 0.5000 0.5000 0.5000  0.01

Results
space-group type = No. 225
excess energy over the best structure of this formula in the dataset = 476 meV per atom


[10]
Below is an optimized crystal structure of Tc2AgH, with properties calculated at the PBE-GGA level.

a = 4.8892 Å, b = 4.8892 Å, c = 5.9298 Å
α = 65.65°, β = 65.65°, γ = 90.00°
Element x y z (fractional)
H 0.5000 0.5000 0.0000
H 0.2500 0.7500 0.5000
Tc 0.3961 0.1250 0.2500
Tc 0.3539 0.6250 0.2500
Tc 0.3750 0.6039 0.7500
Tc 0.8750 0.6461 0.7500
Ag 0.0000 0.0000 0.0000
Ag 0.7500 0.2500 0.5000

Results
space-group type = No. 122
excess energy over the best structure of this formula in the dataset = 0 meV per atom


[11]
Below is an optimized crystal structure of TcAg3H, with properties calculated at the PBE-GGA level.

a = 4.1400 Å, b = 4.1400 Å, c = 4.1400 Å
α = 90.00°, β = 90.00°, γ = 90.00°
Element x y z (fractional)
H 0.0000 0.0000 0.0000
Tc 0.5000 0.5000 0.5000
Ag 0.0000 0.5000 0.0000
Ag 0.0000 0.0000 0.5000
Ag 0.5000 0.0000 0.0000

Results
space-group type = No. 221
excess energy over the best structure of this formula in the dataset = 0 meV per atom


[12]
Below is an optimized crystal structure of TcAg3H, with properties calculated at the PBE-GGA level.

a = 5.2674 Å, b = 5.2674 Å, c = 5.2674 Å
α = 90.00°, β = 90.00°, γ = 90.00°
Each line ends with the local moment (μB).
Element x y z (fractional)
H 0.5000 0.5000 0.5000  0.34
Tc 0.0000 0.0000 0.0000  2.65
Ag 0.0000 0.5000 0.0000  0.06
Ag 0.0000 0.0000 0.5000  0.13
Ag 0.5000 0.0000 0.0000  0.05

Results
space-group type = No. 221
excess energy over the best structure of this formula in the dataset = 1037 meV per atom